[1]
Here is a relaxed Nd3Sm5Co2 crystal from Alexandria via LeMat-Bulk. Energies are from GGA-PBE.

total DFT energy (no corrections) = -5.188 eV per atom
space-group type = Ibam (72)

Unit cell a=7.887 b=9.952 c=9.952 alpha=63.04 beta=66.66 gamma=66.66
Fractional positions:
Nd  0.630  0.609  0.131
Nd  0.750  0.000  0.000
Nd  0.870  0.869  0.391
Nd  0.370  0.391  0.869
Nd  0.250  0.000  0.000
Nd  0.130  0.131  0.609
Co  0.632  0.868  0.868
Co  0.132  0.868  0.868
Co  0.868  0.132  0.132
Co  0.368  0.132  0.132
Sm  0.620  0.138  0.622
Sm  0.250  0.500  0.500
Sm  0.998  0.252  0.252
Sm  0.750  0.500  0.500
Sm  0.380  0.862  0.378
Sm  0.502  0.748  0.748
Sm  0.120  0.622  0.138
Sm  0.002  0.748  0.748
Sm  0.498  0.252  0.252
Sm  0.880  0.378  0.862



[2]
Here is a relaxed Tb3Pm4Pr3 crystal from Alexandria via LeMat-Bulk. Energies are from GGA-PBE.

total DFT energy (no corrections) = -4.613 eV per atom
space-group type = Amm2 (38)

Unit cell a=3.802 b=9.559 c=9.559 alpha=90.44 beta=90.00 gamma=90.00
Fractional positions:
Tb  0.000  0.495  0.998
Tb  0.500  0.172  0.828
Tb  0.000  0.002  0.505
Pm  0.000  0.131  0.126
Pm  0.000  0.874  0.869
Pm  0.000  0.629  0.371
Pm  0.000  0.369  0.631
Pr  0.500  0.671  0.672
Pr  0.500  0.328  0.329
Pr  0.500  0.829  0.171



[3]
Here is a relaxed Th5InFe2 crystal from Alexandria via LeMat-Bulk. Energies are from GGA-PBE.

total DFT energy (no corrections) = -7.216 eV per atom
space-group type = I4/mcm (140)

Unit cell a=7.779 b=7.779 c=8.796 alpha=116.24 beta=116.24 gamma=90.00
Fractional positions:
Th  0.525  0.710  0.736
Th  0.000  0.000  0.000
Th  0.975  0.475  0.264
Th  0.710  0.210  0.736
Th  0.790  0.975  0.264
Th  0.025  0.525  0.736
Th  0.475  0.290  0.264
Th  0.290  0.790  0.264
Th  0.500  0.500  0.000
Th  0.210  0.025  0.736
Fe  0.862  0.638  0.000
Fe  0.362  0.862  0.000
Fe  0.638  0.138  0.000
Fe  0.138  0.362  0.000
In  0.250  0.250  0.500
In  0.750  0.750  0.500



[4]
Here is a relaxed Sc5Pb3S12 crystal from Alexandria via LeMat-Bulk. Energies are from GGA-PBE.

space-group type = Ia-3d (230)
formation energy without anion corrections = -1.0762 eV per atom

Unit cell a=13.791 b=13.791 c=13.791 alpha=109.47 beta=109.47 gamma=109.47
Last column: magnetic moment on the atom in μB.
Fractional positions:
Sc  0.375  0.250  0.125  0.01
Sc  0.875  0.625  0.750  0.01
Sc  0.500  0.500  0.500  -0.01
Sc  0.375  0.125  0.750  0.01
Sc  0.000  0.500  0.000  -0.01
Sc  0.000  0.000  0.500  -0.01
Sc  0.125  0.750  0.375  0.01
Sc  0.625  0.875  0.250  0.01
Sc  0.250  0.375  0.625  0.01
Sc  0.500  0.000  0.500  -0.01
Sc  0.750  0.125  0.875  0.01
Sc  0.000  0.000  0.000  -0.01
Sc  0.500  0.500  0.000  -0.01
Sc  0.125  0.375  0.250  0.01
Sc  0.750  0.625  0.375  0.01
Sc  0.625  0.750  0.875  0.01
Sc  0.500  0.000  0.000  -0.01
Sc  0.875  0.250  0.625  0.01
Sc  0.000  0.500  0.500  -0.01
Sc  0.250  0.875  0.125  0.01
S  0.031  0.414  0.822  0.13
S  0.178  0.092  0.709  0.13
S  0.617  0.586  0.908  0.13
S  0.031  0.617  0.709  0.13
S  0.586  0.617  0.408  0.13
S  0.086  0.178  0.469  0.13
S  0.914  0.092  0.883  0.13
S  0.117  0.709  0.531  0.13
S  0.969  0.586  0.178  0.13
S  0.209  0.678  0.092  0.13
S  0.383  0.414  0.092  0.13
S  0.822  0.914  0.031  0.13
S  0.592  0.709  0.678  0.13
S  0.117  0.408  0.086  0.13
S  0.883  0.592  0.914  0.13
S  0.408  0.117  0.586  0.13
S  0.531  0.209  0.117  0.13
S  0.969  0.383  0.291  0.13
S  0.531  0.322  0.914  0.13
S  0.469  0.678  0.086  0.13
S  0.709  0.117  0.031  0.13
S  0.678  0.209  0.592  0.13
S  0.209  0.531  0.617  0.13
S  0.883  0.291  0.469  0.13
S  0.291  0.408  0.822  0.13
S  0.822  0.908  0.291  0.13
S  0.414  0.383  0.592  0.13
S  0.678  0.469  0.586  0.13
S  0.383  0.969  0.791  0.13
S  0.322  0.791  0.408  0.13
S  0.469  0.791  0.883  0.13
S  0.791  0.322  0.908  0.13
S  0.914  0.822  0.531  0.13
S  0.322  0.531  0.414  0.13
S  0.092  0.178  0.209  0.13
S  0.092  0.914  0.383  0.13
S  0.291  0.883  0.969  0.13
S  0.414  0.031  0.322  0.13
S  0.086  0.908  0.117  0.13
S  0.617  0.031  0.209  0.13
S  0.908  0.822  0.791  0.13
S  0.178  0.086  0.969  0.13
S  0.586  0.969  0.678  0.13
S  0.791  0.469  0.383  0.13
S  0.709  0.592  0.178  0.13
S  0.592  0.883  0.414  0.13
S  0.908  0.086  0.617  0.13
S  0.408  0.291  0.322  0.13
Pb  0.375  0.625  0.250  0.02
Pb  0.125  0.875  0.750  0.02
Pb  0.750  0.375  0.125  0.02
Pb  0.250  0.625  0.875  0.02
Pb  0.375  0.750  0.625  0.02
Pb  0.125  0.250  0.875  0.02
Pb  0.875  0.750  0.125  0.02
Pb  0.250  0.125  0.375  0.02
Pb  0.750  0.875  0.625  0.02
Pb  0.625  0.375  0.750  0.02
Pb  0.625  0.250  0.375  0.02
Pb  0.875  0.125  0.250  0.02



[5]
Here is a relaxed BeCrIr2 crystal from Alexandria via LeMat-Bulk. Energies are from GGA-PBE.

total DFT energy (no corrections) = -7.927 eV per atom
space-group type = Immm (71)

Unit cell a=4.832 b=4.832 c=4.832 alpha=146.61 beta=125.99 gamma=65.00
Fractional positions:
Be  0.750  0.250  0.500
Ir  0.528  0.528  0.000
Ir  0.972  0.972  0.000
Cr  0.250  0.750  0.500



[6]
Here is a relaxed Ti6AlPd crystal from Alexandria via LeMat-Bulk. Energies are from GGA-PBE.

total DFT energy (no corrections) = -7.253 eV per atom
space-group type = P-6m2 (187)

Unit cell a=4.695 b=5.709 c=5.709 alpha=120.01 beta=90.00 gamma=90.00
Last column: magnetic moment on the atom in μB.
Fractional positions:
Ti  0.500  0.919  0.081  0.25
Ti  0.000  0.578  0.907  0.15
Ti  0.500  0.919  0.588  0.25
Ti  0.000  0.578  0.422  0.15
Ti  0.500  0.412  0.081  0.25
Ti  0.000  0.093  0.422  0.15
Al  0.500  0.417  0.583  0.00
Pd  0.000  0.083  0.917  0.07



[7]
Here is a relaxed Dy2CdF8 crystal from Alexandria via LeMat-Bulk. Energies are from GGA-PBE.

space-group type = C2/m (12)
formation energy without anion corrections = -3.5908 eV per atom

Unit cell a=3.647 b=5.493 c=7.631 alpha=108.51 beta=103.83 gamma=90.00
Fractional positions:
Cd  0.500  0.000  0.000
F  0.318  0.037  0.637
F  0.682  0.963  0.363
F  0.402  0.549  0.804
F  0.782  0.671  0.564
F  0.218  0.329  0.436
F  0.955  0.186  0.910
F  0.045  0.814  0.090
F  0.598  0.451  0.196
Dy  0.178  0.688  0.356
Dy  0.822  0.312  0.644



[8]
Here is a relaxed PmGa3Co3 crystal from Alexandria via LeMat-Bulk. Energies are from GGA-PBE.

total DFT energy (no corrections) = -4.871 eV per atom
space-group type = Pm-3n (223)

Unit cell a=6.407 b=6.407 c=6.407 alpha=90.00 beta=90.00 gamma=90.00
Fractional positions:
Pm  0.500  0.500  0.500
Pm  0.000  0.000  0.000
Ga  0.000  0.250  0.500
Ga  0.000  0.750  0.500
Ga  0.500  0.000  0.750
Ga  0.750  0.500  0.000
Ga  0.500  0.000  0.250
Ga  0.250  0.500  0.000
Co  0.000  0.500  0.250
Co  0.750  0.000  0.500
Co  0.500  0.250  0.000
Co  0.000  0.500  0.750
Co  0.500  0.750  0.000
Co  0.250  0.000  0.500



[9]
Here is a relaxed La2Dy5Tm5 crystal from Alexandria via LeMat-Bulk. Energies are from GGA-PBE.

total DFT energy (no corrections) = -4.570 eV per atom
space-group type = C2/m (12)

Unit cell a=5.034 b=7.961 c=10.658 alpha=72.57 beta=76.34 gamma=71.57
Fractional positions:
Tm  0.831  0.838  0.500
Tm  0.753  0.246  0.249
Tm  0.000  0.000  0.000
Tm  0.247  0.754  0.751
Tm  0.169  0.162  0.500
Dy  0.500  0.500  0.500
Dy  0.666  0.668  0.000
Dy  0.334  0.332  0.000
Dy  0.414  0.921  0.251
Dy  0.586  0.079  0.749
La  0.917  0.417  0.748
La  0.083  0.583  0.252



[10]
Here is a relaxed LaEr2C crystal from Alexandria via LeMat-Bulk. Energies are from GGA-PBE.

total DFT energy (no corrections) = -6.034 eV per atom
space-group type = P-3m1 (164)

Unit cell a=3.575 b=3.575 c=9.290 alpha=89.99 beta=90.00 gamma=120.00
Last column: magnetic moment on the atom in μB.
Fractional positions:
Er  0.333  0.667  0.644  0.01
Er  0.667  0.333  0.356  0.01
La  0.000  0.000  0.000  0.12
C  0.000  0.000  0.500  0.00



[11]
Here is a relaxed LiTaSb crystal from Alexandria via LeMat-Bulk. Energies are from GGA-PBE.

space-group type = P4/nmm (129)
formation energy without anion corrections = -0.3031 eV per atom

Unit cell a=4.074 b=4.074 c=7.309 alpha=90.00 beta=90.00 gamma=90.00
Fractional positions:
Li  0.500  0.000  0.174
Li  0.000  0.500  0.826
Sb  0.500  0.000  0.782
Sb  0.000  0.500  0.218
Ta  0.000  0.000  0.500
Ta  0.500  0.500  0.500



[12]
Here is a relaxed Ba2DyPaO6 crystal from Alexandria via LeMat-Bulk. Energies are from GGA-PBE.

space-group type = Fm-3m (225)
formation energy without anion corrections = -3.3279 eV per atom

Unit cell a=6.270 b=6.270 c=6.270 alpha=60.00 beta=60.00 gamma=90.00
Fractional positions:
O  0.246  0.246  0.000
O  0.754  0.754  0.492
O  0.246  0.754  0.000
O  0.754  0.246  0.000
O  0.246  0.246  0.508
O  0.754  0.754  0.000
Pa  0.000  0.000  0.000
Ba  0.750  0.250  0.500
Ba  0.250  0.750  0.500
Dy  0.500  0.500  0.000